PBE SrLiIr2, relaxed; DFT total energy = -5.202 eV/atom; space group = I-42d; energy above the lowest structure with this stoichiometry = 1.14 kcal/mol of atoms; ΔE_f = 0.128 eV per atom
1.0
-3.647 2.777 0.484
-0.652 -1.601 4.273
3.097 6.924 5.553
Li Sr Ir
2 2 4
direct
0.500 0.500 0.000
0.250 0.750 0.500
0.750 0.250 0.500
0.000 0.000 0.000
0.875 0.547 0.750
0.297 0.125 0.250
0.453 0.625 0.250
0.375 0.703 0.750